No. 1
Entry from Alexandria via LeMat-Bulk: crystalline BaLiCrF6 at its relaxed geometry (GGA+U).

Uncorrected energy   -5.72 eV/atom

abc: 5.351 5.351 11.226
angles: 90.00 90.00 120.00
Fractional positions:
Ba (0.000, 0.000, 0.000)
Ba (0.000, 0.000, 0.500)
Li (0.333, 0.667, 0.250)
Li (0.667, 0.333, 0.750)
Cr (0.333, 0.667, 0.750)
Cr (0.667, 0.333, 0.250)
F (0.018, 0.385, 0.651)
F (0.018, 0.633, 0.849)
F (0.367, 0.385, 0.849)
F (0.367, 0.982, 0.651)
F (0.385, 0.018, 0.151)
F (0.385, 0.367, 0.349)
F (0.615, 0.633, 0.651)
F (0.615, 0.982, 0.849)
F (0.633, 0.018, 0.349)
F (0.633, 0.615, 0.151)
F (0.982, 0.367, 0.151)
F (0.982, 0.615, 0.349)

***

No. 2
Entry from Alexandria via LeMat-Bulk: crystalline BaLiCrF6 at its relaxed geometry (GGA+U).

Uncorrected energy   -5.72 eV/atom

abc: 5.451 10.726 8.803
angles: 90.00 90.81 90.00
Fractional positions:
Ba (0.197, 0.182, 0.492)
Ba (0.197, 0.318, 0.992)
Ba (0.803, 0.682, 0.008)
Ba (0.803, 0.818, 0.508)
Li (0.253, 0.590, 0.323)
Li (0.253, 0.910, 0.823)
Li (0.747, 0.090, 0.177)
Li (0.747, 0.410, 0.677)
Cr (0.261, 0.592, 0.733)
Cr (0.261, 0.908, 0.233)
Cr (0.739, 0.092, 0.767)
Cr (0.739, 0.408, 0.267)
F (0.038, 0.007, 0.699)
F (0.038, 0.493, 0.199)
F (0.095, 0.747, 0.262)
F (0.095, 0.753, 0.762)
F (0.154, 0.607, 0.524)
F (0.154, 0.893, 0.024)
F (0.338, 0.596, 0.950)
F (0.338, 0.904, 0.450)
F (0.405, 0.074, 0.210)
F (0.405, 0.426, 0.710)
F (0.426, 0.168, 0.804)
F (0.426, 0.332, 0.304)
F (0.574, 0.668, 0.696)
F (0.574, 0.832, 0.196)
F (0.595, 0.574, 0.290)
F (0.595, 0.926, 0.790)
F (0.662, 0.096, 0.550)
F (0.662, 0.404, 0.050)
F (0.846, 0.107, 0.976)
F (0.846, 0.393, 0.476)
F (0.905, 0.247, 0.238)
F (0.905, 0.253, 0.738)
F (0.962, 0.507, 0.801)
F (0.962, 0.993, 0.301)

***

No. 3
Entry from Alexandria via LeMat-Bulk: crystalline BaLi2CrF8 at its relaxed geometry (GGA+U).

Uncorrected energy   -5.26 eV/atom

abc: 4.891 4.999 7.385
angles: 80.46 80.91 77.08
Fractional positions:
Ba (0.000, 0.000, 0.000)
Li (0.454, 0.453, 0.216)
Li (0.546, 0.547, 0.784)
Cr (0.000, 0.000, 0.500)
F (0.206, 0.781, 0.688)
F (0.212, 0.784, 0.318)
F (0.248, 0.230, 0.447)
F (0.350, 0.322, 0.005)
F (0.650, 0.678, 0.995)
F (0.752, 0.770, 0.553)
F (0.788, 0.216, 0.682)
F (0.794, 0.219, 0.312)

***

No. 4
Entry from Alexandria via LeMat-Bulk: crystalline BaMgCrF7 at its relaxed geometry (GGA+U).

Uncorrected energy   -5.76 eV/atom

abc: 5.636 9.998 9.722
angles: 90.00 93.17 90.00
Fractional positions:
Ba (0.236, 0.176, 0.001)
Ba (0.236, 0.324, 0.501)
Ba (0.764, 0.676, 0.499)
Ba (0.764, 0.824, 0.999)
Mg (0.195, 0.605, 0.811)
Mg (0.195, 0.895, 0.311)
Mg (0.805, 0.105, 0.689)
Mg (0.805, 0.395, 0.189)
Cr (0.305, 0.613, 0.187)
Cr (0.305, 0.887, 0.687)
Cr (0.695, 0.113, 0.313)
Cr (0.695, 0.387, 0.813)
F (0.028, 0.713, 0.250)
F (0.028, 0.787, 0.750)
F (0.115, 0.542, 0.627)
F (0.115, 0.958, 0.127)
F (0.128, 0.047, 0.633)
F (0.128, 0.453, 0.133)
F (0.240, 0.688, 0.001)
F (0.240, 0.812, 0.501)
F (0.385, 0.545, 0.368)
F (0.385, 0.955, 0.868)
F (0.392, 0.050, 0.372)
F (0.392, 0.450, 0.872)
F (0.472, 0.721, 0.747)
F (0.472, 0.779, 0.247)
F (0.528, 0.221, 0.753)
F (0.528, 0.279, 0.253)
F (0.608, 0.550, 0.128)
F (0.608, 0.950, 0.628)
F (0.615, 0.045, 0.132)
F (0.615, 0.455, 0.632)
F (0.760, 0.188, 0.499)
F (0.760, 0.312, 0.999)
F (0.872, 0.547, 0.867)
F (0.872, 0.953, 0.367)
F (0.885, 0.042, 0.873)
F (0.885, 0.458, 0.373)
F (0.972, 0.213, 0.250)
F (0.972, 0.287, 0.750)

***

No. 5
Entry from Alexandria via LeMat-Bulk: crystalline BaMgCrF6 at its relaxed geometry (GGA+U).

Uncorrected energy   -5.71 eV/atom

abc: 5.523 5.523 11.162
angles: 90.00 90.00 120.00
Fractional positions:
Ba (0.000, 0.000, 0.000)
Ba (0.000, 0.000, 0.500)
Mg (0.333, 0.667, 0.250)
Mg (0.667, 0.333, 0.750)
Cr (0.333, 0.667, 0.750)
Cr (0.667, 0.333, 0.250)
F (0.015, 0.381, 0.148)
F (0.015, 0.634, 0.352)
F (0.366, 0.381, 0.352)
F (0.366, 0.985, 0.148)
F (0.381, 0.015, 0.648)
F (0.381, 0.366, 0.852)
F (0.619, 0.634, 0.148)
F (0.619, 0.985, 0.352)
F (0.634, 0.015, 0.852)
F (0.634, 0.619, 0.648)
F (0.985, 0.366, 0.648)
F (0.985, 0.619, 0.852)

***

No. 6
Entry from Alexandria via LeMat-Bulk: crystalline BaCrNF2 at its relaxed geometry (GGA+U).

ΔE to the lowest computed polymorph   1.1172 eV per atom

abc: 4.930 4.930 5.550
angles: 90.00 90.00 90.00
Fractional positions:
Ba (0.000, 0.000, 0.000)
Cr (0.500, 0.500, 0.500)
N (0.000, 0.000, 0.500)
F (0.000, 0.500, 0.000)
F (0.500, 0.000, 0.000)

***

Number 1: V 15.46 Å³ per atom. Number 2: V 14.29 Å³ per atom. Number 3: V 14.35 Å³ per atom. Number 4: V 13.68 Å³ per atom. Number 5: V 16.38 Å³ per atom. Number 6: V 26.98 Å³ per atom.